VASP calculation (GGA-PBE) on a geometry-optimized LuZrGaRe structure.

Values from the calculation:
The density of states at the Fermi level comes out at 1.8 states/eV per cell. For the formation energy, the calculation gives -0.27 eV/atom. The energy comes out at -7.408 eV/atom.

The structure in extended XYZ format:
```
4
Lattice="0.000 3.378 3.378 3.378 0.000 3.378 3.378 3.378 0.000" Properties=species:S:1:pos:R:3 pbc="T T T"
Lu 0.000 0.000 0.000
Zr 3.378 3.378 3.378
Ga 1.689 1.689 1.689
Re 5.066 5.066 5.066
```